one:
The following is a PBE-GGA calculation of LiGdAl after structural relaxation, from the Alexandria database.

space-group type = I4mm

Unit cell a=3.3949 b=3.3949 c=6.1814 alpha=105.94 beta=105.94 gamma=90.00
Each line ends with the local moment (μB).
Sites, in units of the cell vectors:
Al 0.6375 0.6375 0.2750  0.00
Li 0.2541 0.2541 0.5083  0.03
Gd 0.9584 0.9584 0.9168  7.41

=====

two:
The following is a PBE-GGA calculation of LiGdAl after structural relaxation, from the Alexandria database.

space-group type = P-6m2

Unit cell a=3.2547 b=4.8665 c=4.8665 alpha=120.00 beta=90.00 gamma=90.00
Each line ends with the local moment (μB).
Sites, in units of the cell vectors:
Al 0.1671 0.0000 0.0000  -0.02
Gd 0.6670 0.3333 0.6667  7.17
Li 0.1659 0.6667 0.3333  0.00

=====

The structure with the greatest stability is two.

=====

one:
The following is a PBE-GGA calculation of GdLuAl2 after structural relaxation, from the Alexandria database.

space-group type = Fm-3m

Unit cell a=5.0606 b=5.0606 c=5.0606 alpha=60.00 beta=60.00 gamma=60.00
Each line ends with the local moment (μB).
Sites, in units of the cell vectors:
Gd 0.0000 0.0000 0.0000  -7.03
Al 0.7500 0.7500 0.7500  0.01
Al 0.2500 0.2500 0.2500  0.01
Lu 0.5000 0.5000 0.5000  0.01

=====

two:
The following is a PBE-GGA calculation of GdLuAl2 after structural relaxation, from the Alexandria database.

space-group type = P4/mmm

Unit cell a=4.1838 b=4.6899 c=4.6899 alpha=90.00 beta=90.00 gamma=90.00
Each line ends with the local moment (μB).
Sites, in units of the cell vectors:
Gd 0.5000 0.0000 0.0000  7.11
Al 0.0000 0.0000 0.5000  -0.02
Al 0.0000 0.5000 0.0000  -0.02
Lu 0.5000 0.5000 0.5000  0.10

=====

The structure with the greatest stability is one.

=====

one:
The following is a PBE-GGA calculation of GdMnAl2 after structural relaxation, from the Alexandria database.

space-group type = Fm-3m

Unit cell a=4.7549 b=4.7549 c=4.7544 alpha=60.00 beta=60.00 gamma=60.00
Each line ends with the local moment (μB).
Sites, in units of the cell vectors:
Al 0.2500 0.2500 0.2499  -0.03
Al 0.7500 0.7500 0.7501  -0.03
Mn 0.5000 0.5000 0.5000  3.53
Gd 0.0000 0.0000 0.0000  6.92

=====

two:
The following is a PBE-GGA calculation of GdMnAl2 after structural relaxation, from the Alexandria database.

space-group type = P4/mmm

Unit cell a=3.1587 b=3.1587 c=7.3882 alpha=90.00 beta=90.00 gamma=90.00
Each line ends with the local moment (μB).
Sites, in units of the cell vectors:
Al 0.0000 0.0000 0.1952  -0.01
Al 0.0000 0.0000 0.8048  -0.01
Mn 0.5000 0.5000 0.0000  3.03
Gd 0.5000 0.5000 0.5000  -7.14

=====

The structure with the greatest stability is two.

=====

one:
The following is a PBE-GGA calculation of GdNbAl2 after structural relaxation, from the Alexandria database.

space-group type = R-3m

Unit cell a=3.0774 b=3.0774 c=10.0733 alpha=81.21 beta=81.21 gamma=60.00
Each line ends with the local moment (μB).
Sites, in units of the cell vectors:
Gd 0.5000 0.5000 0.5000  7.29
Al 0.7421 0.7421 0.7738  -0.01
Al 0.2579 0.2579 0.2262  -0.01
Nb 0.0000 0.0000 0.0000  0.02

=====

two:
The following is a PBE-GGA calculation of GdNbAl2 after structural relaxation, from the Alexandria database.

space-group type = P4/mmm

Unit cell a=3.5356 b=3.5356 c=6.4619 alpha=90.00 beta=90.00 gamma=90.00
Each line ends with the local moment (μB).
Sites, in units of the cell vectors:
Gd 0.5000 0.5000 0.5000  7.07
Al 0.0000 0.0000 0.2009  -0.02
Al 0.0000 0.0000 0.7991  -0.02
Nb 0.5000 0.5000 0.0000  -0.16

=====

The structure with the greatest stability is two.

=====

one:
The following is a PBE-GGA calculation of NdGd2Al after structural relaxation, from the Alexandria database.

space-group type = Fm-3m

Unit cell a=5.4286 b=5.4286 c=5.4286 alpha=60.00 beta=60.00 gamma=60.00
Each line ends with the local moment (μB).
Sites, in units of the cell vectors:
Gd 0.7500 0.7500 0.7500  7.32
Gd 0.2500 0.2500 0.2500  7.32
Nd 0.0000 0.0000 0.0000  0.37
Al 0.5000 0.5000 0.5000  -0.02

=====

two:
The following is a PBE-GGA calculation of NdGd2Al after structural relaxation, from the Alexandria database.

space-group type = R-3m

Unit cell a=3.6051 b=3.6051 c=10.8650 alpha=80.45 beta=80.45 gamma=60.00
Each line ends with the local moment (μB).
Sites, in units of the cell vectors:
Gd 0.7388 0.7388 0.7835  -7.06
Gd 0.2612 0.2612 0.2165  -7.06
Nd 0.5000 0.5000 0.5000  0.06
Al 0.0000 0.0000 0.0000  0.03

=====

The structure with the greatest stability is two.

=====

one:
The following is a PBE-GGA calculation of NdGdAl2 after structural relaxation, from the Alexandria database.

space-group type = R-3m

Unit cell a=3.6735 b=3.6735 c=9.5816 alpha=78.95 beta=78.95 gamma=60.00
Each line ends with the local moment (μB).
Sites, in units of the cell vectors:
Al 0.2516 0.2516 0.2453  -0.01
Al 0.7484 0.7484 0.7547  -0.01
Gd 0.0000 0.0000 0.0000  7.06
Nd 0.5000 0.5000 0.5000  -0.05

=====

two:
The following is a PBE-GGA calculation of NdGdAl2 after structural relaxation, from the Alexandria database.

space-group type = P4/mmm

Unit cell a=3.6809 b=3.6809 c=7.3543 alpha=90.00 beta=90.00 gamma=90.00
Each line ends with the local moment (μB).
Sites, in units of the cell vectors:
Al 0.0000 0.0000 0.7599  -0.01
Al 0.0000 0.0000 0.2401  -0.01
Gd 0.5000 0.5000 0.0000  7.06
Nd 0.5000 0.5000 0.5000  -0.04

=====

three:
The following is a PBE-GGA calculation of NdGdAl2 after structural relaxation, from the Alexandria database.

space-group type = Fm-3m

Unit cell a=5.2064 b=5.2064 c=5.2064 alpha=60.00 beta=60.00 gamma=60.00
Each line ends with the local moment (μB).
Sites, in units of the cell vectors:
Nd 0.0000 0.0000 0.0000  0.00
Al 0.2500 0.2500 0.2500  -0.01
Al 0.7500 0.7500 0.7500  -0.01
Gd 0.5000 0.5000 0.5000  7.04

=====

The structure with the greatest stability is two.

=====

one:
The following is a PBE-GGA calculation of GdPaAl2 after structural relaxation, from the Alexandria database.

space-group type = Fm-3m

Unit cell a=5.1000 b=5.1000 c=5.1000 alpha=60.00 beta=60.00 gamma=60.00
Each line ends with the local moment (μB).
Sites, in units of the cell vectors:
Gd 0.5000 0.5000 0.5000  -7.15
Al 0.2500 0.2500 0.2500  0.01
Al 0.7500 0.7500 0.7500  0.01
Pa 0.0000 0.0000 0.0000  -0.62

=====

two:
The following is a PBE-GGA calculation of GdPaAl2 after structural relaxation, from the Alexandria database.

space-group type = P4/mmm

Unit cell a=4.2709 b=4.6331 c=4.6331 alpha=90.00 beta=90.00 gamma=90.00
Each line ends with the local moment (μB).
Sites, in units of the cell vectors:
Pa 0.5000 0.0000 0.0000  0.16
Gd 0.5000 0.5000 0.5000  7.11
Al 0.0000 0.5000 0.0000  -0.01
Al 0.0000 0.0000 0.5000  -0.01

=====

The structure with the greatest stability is two.

=====

one:
The following is a PBE-GGA calculation of GdPaAl2 after structural relaxation, from the Alexandria database.

space-group type = R-3m

Unit cell a=3.2045 b=3.2045 c=10.5492 alpha=81.26 beta=81.26 gamma=60.00
Each line ends with the local moment (μB).
Sites, in units of the cell vectors:
Gd 0.5000 0.5000 0.5000  7.25
Al 0.7496 0.7496 0.7513  -0.01
Al 0.2504 0.2504 0.2487  -0.01
Pa 0.0000 0.0000 0.0000  -0.01

=====

two:
The following is a PBE-GGA calculation of GdPaAl2 after structural relaxation, from the Alexandria database.

space-group type = P4/mmm

Unit cell a=3.2384 b=3.2384 c=8.6519 alpha=90.00 beta=90.00 gamma=90.00
Each line ends with the local moment (μB).
Sites, in units of the cell vectors:
Al 0.0000 0.0000 0.2469  -0.01
Al 0.0000 0.0000 0.7531  -0.01
Pa 0.5000 0.5000 0.0000  -0.17
Gd 0.5000 0.5000 0.5000  7.21

=====

The structure with the greatest stability is two.

=====

one:
The following is a PBE-GGA calculation of PmGd2Al after structural relaxation, from the Alexandria database.

space-group type = P4/mmm

Unit cell a=3.5340 b=3.5340 c=9.2308 alpha=90.00 beta=90.00 gamma=90.00
Each line ends with the local moment (μB).
Sites, in units of the cell vectors:
Gd 0.0000 0.0000 0.7879  7.10
Gd 0.0000 0.0000 0.2121  7.10
Al 0.5000 0.5000 0.0000  -0.02
Pm 0.5000 0.5000 0.5000  -0.06

=====

two:
The following is a PBE-GGA calculation of PmGd2Al after structural relaxation, from the Alexandria database.

space-group type = Fm-3m

Unit cell a=5.4146 b=5.4146 c=5.4146 alpha=60.00 beta=60.00 gamma=60.00
Each line ends with the local moment (μB).
Sites, in units of the cell vectors:
Pm 0.0000 0.0000 0.0000  0.34
Gd 0.7500 0.7500 0.7500  7.29
Gd 0.2500 0.2500 0.2500  7.29
Al 0.5000 0.5000 0.5000  -0.01

=====

The structure with the greatest stability is one.

=====

one:
The following is a PBE-GGA calculation of Pm2GdAl after structural relaxation, from the Alexandria database.

space-group type = P4/mmm

Unit cell a=3.5790 b=3.5790 c=9.2204 alpha=90.00 beta=90.00 gamma=90.00
Each line ends with the local moment (μB).
Sites, in units of the cell vectors:
Gd 0.5000 0.5000 0.5000  7.19
Pm 0.0000 0.0000 0.2138  -0.01
Pm 0.0000 0.0000 0.7862  -0.01
Al 0.5000 0.5000 0.0000  0.00

=====

two:
The following is a PBE-GGA calculation of Pm2GdAl after structural relaxation, from the Alexandria database.

space-group type = Fm-3m

Unit cell a=5.4432 b=5.4432 c=5.4432 alpha=60.00 beta=60.00 gamma=60.00
Each line ends with the local moment (μB).
Sites, in units of the cell vectors:
Gd 0.5000 0.5000 0.5000  7.30
Al 0.0000 0.0000 0.0000  -0.03
Pm 0.7500 0.7500 0.7500  0.12
Pm 0.2500 0.2500 0.2500  0.12

=====

The structure with the greatest stability is one.

=====

one:
The following is a PBE-GGA calculation of PrGd2Al after structural relaxation, from the Alexandria database.

space-group type = P4/mmm

Unit cell a=3.5564 b=3.5564 c=9.2410 alpha=90.00 beta=90.00 gamma=90.00
Each line ends with the local moment (μB).
Sites, in units of the cell vectors:
Gd 0.0000 0.0000 0.2092  -7.11
Gd 0.0000 0.0000 0.7908  -7.11
Pr 0.5000 0.5000 0.5000  0.05
Al 0.5000 0.5000 0.0000  0.02

=====

two:
The following is a PBE-GGA calculation of PrGd2Al after structural relaxation, from the Alexandria database.

space-group type = R-3m

Unit cell a=3.4969 b=3.4969 c=12.1919 alpha=81.75 beta=81.75 gamma=60.00
Each line ends with the local moment (μB).
Sites, in units of the cell vectors:
Pr 0.5000 0.5000 0.5000  0.10
Gd 0.0850 0.0850 0.7451  -7.24
Gd 0.9150 0.9150 0.2549  -7.24
Al 0.0000 0.0000 0.0000  -0.01

=====

The structure with the greatest stability is one.

=====

one:
The following is a PBE-GGA calculation of PrGd2Al after structural relaxation, from the Alexandria database.

space-group type = Fm-3m

Unit cell a=5.4400 b=5.4400 c=5.4400 alpha=60.00 beta=60.00 gamma=60.00
Each line ends with the local moment (μB).
Sites, in units of the cell vectors:
Pr 0.0000 0.0000 0.0000  0.48
Al 0.5000 0.5000 0.5000  -0.02
Gd 0.2500 0.2500 0.2500  7.36
Gd 0.7500 0.7500 0.7500  7.36

=====

two:
The following is a PBE-GGA calculation of PrGd2Al after structural relaxation, from the Alexandria database.

space-group type = P4/mmm

Unit cell a=4.8644 b=4.8388 c=4.8388 alpha=90.00 beta=90.00 gamma=90.00
Each line ends with the local moment (μB).
Sites, in units of the cell vectors:
Pr 0.5000 0.5000 0.5000  0.12
Al 0.5000 0.0000 0.0000  -0.03
Gd 0.0000 0.5000 0.0000  7.24
Gd 0.0000 0.0000 0.5000  7.24

=====

The structure with the greatest stability is two.